(1)
SrTaPb2: optimized geometry, GGA-PBEsol.

Structure (POSCAR):
```
SrTaPb2
1.0
-1.212 -2.840 -0.918
4.469 -2.409 1.551
-2.355 -0.792 5.556
Pb Ta Sr
2 1 1
Cartesian
0.746 -2.921 2.398
-2.061 -0.693 4.862
-0.431 -3.317 5.176
-0.884 -0.297 2.085
```

Output
V = 104 Å³/cell
Space group = Pmmm (47)
Energy relative to the elements = 0.457 eV per atom

(2)
GaHPb2: optimized geometry, GGA-PBEsol.

Structure (POSCAR):
```
GaHPb2
1.0
-2.591 1.588 3.821
0.385 -2.251 4.316
2.249 2.223 3.720
Ga H Pb
1 1 2
Cartesian
0.021 0.780 5.929
0.000 0.000 0.000
0.032 1.170 8.893
0.011 0.390 2.964
```

Output
V = 82 Å³/cell
Space group = Fm-3m (225)
Final energy = -3.291 eV per atom

(3)
RePIr2: optimized geometry, GGA-PBEsol.

Structure (POSCAR):
```
RePIr2
1.0
-2.100 -1.076 1.479
-2.098 -1.108 -3.783
2.055 -3.975 0.025
Ir Re P
2 1 1
Cartesian
0.000 0.000 0.000
-2.099 -1.092 -1.152
-0.021 -2.541 -1.879
-0.023 -2.526 0.752
```

Output
V = 56 Å³/cell
Space group = Pmmm (47)
Energy relative to the elements = 0.243 eV per atom

(4)
SrScCu: optimized geometry, GGA-PBEsol.

Structure (POSCAR):
```
SrScCu
1.0
4.752 0.000 0.000
2.376 4.115 0.000
2.376 1.372 3.880
Sc Sr Cu
1 1 1
Cartesian
2.376 1.372 0.970
0.000 0.000 0.000
4.752 2.743 1.940
```

Output
V = 76 Å³/cell
Space group = F-43m (216)
Energy relative to the elements = 0.766 eV per atom

(5)
ZrSc2Cd: optimized geometry, GGA-PBEsol.

Structure (POSCAR):
```
ZrSc2Cd
1.0
3.156 0.000 0.000
0.000 5.318 0.071
0.000 -1.297 5.158
Zr Cd Sc
1 1 2
Cartesian
1.578 2.011 2.614
1.578 0.000 0.000
0.000 -0.648 2.579
0.000 2.659 0.036
```

Output
V = 87 Å³/cell
Space group = Cmmm (65)
Offset from the most stable computed form = 141.8 meV/atom
Energy relative to the elements = -0.045 eV per atom

(6)
KMgSc4: optimized geometry, GGA-PBEsol.

Structure (POSCAR):
```
KMgSc4
1.0
-1.977 3.807 -4.493
-0.234 -1.993 -5.879
-5.492 -1.000 -2.725
Sc Mg K
4 1 1
Cartesian
-2.984 -0.719 -7.885
-2.864 0.303 -4.869
-3.878 2.255 -7.174
-5.680 -0.210 -6.267
0.000 0.000 0.000
-5.777 0.611 -9.823
```

Output
V = 170 Å³/cell
Space group = F-43m (216)
Energy relative to the elements = 0.492 eV per atom

(7)
K4CaRh: optimized geometry, GGA-PBEsol.

Structure (POSCAR):
```
K4CaRh
1.0
6.883 0.000 0.000
3.442 5.961 0.000
3.442 1.987 5.620
K Rh Ca
4 1 1
Cartesian
5.203 3.004 2.124
8.564 3.004 2.124
6.883 5.915 2.124
6.883 3.974 4.869
10.325 5.961 4.215
0.000 0.000 0.000
```

Output
V = 231 Å³/cell
Space group = F-43m (216)
Energy relative to the elements = 0.802 eV per atom

(8)
Li2AlZn2: optimized geometry, GGA-PBEsol.

Structure (POSCAR):
```
Li2AlZn2
1.0
-0.886 2.522 1.667
-1.477 -4.053 5.348
6.426 0.722 2.322
Li Zn Al
4 4 2
Cartesian
3.591 1.070 3.266
0.129 0.026 3.006
0.473 -1.878 6.071
3.935 -0.835 6.331
2.774 -3.065 6.112
2.176 -0.266 1.558
-0.089 -2.464 3.681
5.038 -0.867 3.989
2.475 -1.665 3.835
0.000 0.000 0.000
```

Output
V = 149 Å³/cell
Space group = P4/mbm (127)
Offset from the most stable computed form = 0.0 meV/atom
Energy relative to the elements = -0.098 eV per atom

(9)
Ti3Ge: optimized geometry, GGA-PBEsol.

Structure (POSCAR):
```
Ti3Ge
1.0
5.081 0.000 0.000
2.541 7.150 0.000
2.541 0.000 7.150
Ti Ge
12 4
Cartesian
4.980 2.745 2.357
3.619 5.795 0.181
4.003 0.181 1.355
1.217 0.227 2.876
9.084 6.969 5.795
2.641 2.357 4.405
3.619 1.355 6.969
6.405 2.876 6.922
6.405 4.273 0.227
7.722 4.793 2.745
6.298 6.922 4.273
4.980 4.405 4.793
2.411 2.333 1.818
5.211 5.332 2.333
7.492 4.817 5.332
5.211 1.818 4.817
```

Output
V = 260 Å³/cell
Space group = I-4 (82)
Energy relative to the elements = -0.481 eV per atom

(10)
PPd3Pb: optimized geometry, GGA-PBEsol.

Structure (POSCAR):
```
PPd3Pb
1.0
4.519 0.000 0.000
0.000 4.519 0.000
0.000 0.000 4.519
Pd Pb P
3 1 1
Cartesian
0.000 2.259 0.000
0.000 0.000 2.259
2.259 0.000 0.000
2.259 2.259 2.259
0.000 0.000 0.000
```

Output
V = 92 Å³/cell
Space group = Pm-3m (221)
Offset from the most stable computed form = 0.0 meV/atom
Energy relative to the elements = -0.292 eV per atom

(11)
DyNi4B: optimized geometry, GGA-PBEsol.

Structure (POSCAR):
```
DyNi4B
1.0
4.892 0.000 0.000
-2.446 4.237 0.000
0.000 0.000 6.876
Ni Dy B
8 2 2
Cartesian
1.223 2.118 4.880
-1.223 2.118 4.880
2.446 1.412 0.000
2.446 0.000 1.996
1.223 2.118 1.996
2.446 0.000 4.880
-1.223 2.118 1.996
0.000 2.824 0.000
0.000 0.000 0.000
0.000 0.000 3.438
0.000 2.824 3.438
2.446 1.412 3.438
```

Output
V = 143 Å³/cell
Space group = P6/mmm (191)
Energy relative to the elements = -0.527 eV per atom

(12)
RbTb2Cl7: optimized geometry, GGA-PBEsol.

Structure (POSCAR):
```
RbTb2Cl7
1.0
6.886 0.000 0.000
0.000 12.510 0.000
0.000 0.000 13.080
Cl Rb Tb
28 4 8
Cartesian
0.066 5.765 8.229
0.066 0.490 1.689
3.513 5.268 11.495
0.070 11.523 8.124
1.721 3.897 5.129
6.848 10.098 4.264
6.820 12.020 11.391
3.481 8.667 10.803
3.373 11.523 8.124
3.481 10.098 4.264
3.377 0.490 1.689
1.721 2.358 11.669
3.405 3.843 2.276
3.509 6.745 4.851
6.820 6.745 4.851
6.816 0.986 4.955
0.070 7.241 1.584
6.848 8.667 10.803
0.038 3.843 2.276
3.377 5.765 8.229
0.038 2.412 8.816
3.509 12.020 11.391
6.816 5.268 11.495
3.513 0.986 4.955
3.405 2.412 8.816
5.164 10.152 1.411
3.373 7.241 1.584
5.164 8.613 7.951
5.164 3.804 6.015
5.164 2.451 12.555
1.721 8.706 7.064
1.721 10.059 0.524
5.164 10.546 9.852
1.721 5.761 3.103
1.721 1.963 3.228
1.721 0.494 9.643
5.164 12.015 3.436
5.164 8.218 3.312
1.721 4.292 9.767
5.164 6.749 9.976
```

Output
V = 1127 Å³/cell
Energy relative to the elements, uncorrected = -2.266 eV per atom
Space group = Pnma (62)